# 1
Below is a geometry-optimized Pr4Er5Sc2 structure, with properties calculated at the PBE level.

D(E_F) = 16.396 states/eV per cell
space-group type = No. 71
final energy = -4.632 eV per atom
mass density = 6.87 g cm⁻³
energy above the lowest structure with this stoichiometry = 257 meV/atom
calculated formation energy = 0.331 eV/atom

The structure in extended XYZ format:
```
11
Lattice="-1.733 4.660 11.144 1.733 -4.660 11.144 1.733 4.660 -11.144" Properties=species:S:1:pos:R:3 pbc="T T T"
Pr 0.000 0.000 2.199
Pr 1.733 1.944 0.000
Pr 0.000 2.716 11.144
Pr 0.000 0.000 20.089
Er 1.733 2.749 -3.472
Er 1.733 2.749 3.472
Er 0.000 4.660 0.000
Er 0.000 1.910 7.672
Er 0.000 1.910 14.616
Sc 0.000 0.000 5.114
Sc 0.000 0.000 17.174
```



# 2
Below is a geometry-optimized NaYCdSn structure, with properties calculated at the PBE level.

D(E_F) = 1.391 states/eV per cell
space-group type = No. 216
final energy = -3.529 eV per atom
mass density = 5.51 g cm⁻³
calculated formation energy = -0.354 eV/atom

The structure in extended XYZ format:
```
4
Lattice="0.000 3.726 3.726 3.726 0.000 3.726 3.726 3.726 0.000" Properties=species:S:1:pos:R:3 pbc="T T T"
Na 0.000 0.000 0.000
Y 3.726 3.726 3.726
Cd 5.589 5.589 5.589
Sn 1.863 1.863 1.863
```